Record 1
A plane-wave DFT calculation with PBE was carried out for a relaxed structure of BaBe2Ni.

Calculated values
Energy of formation, eV/atom: 0.447
E above lowest polymorph, eV/atom: 0.447
Density, g cm⁻³: 4.1

Unit cell a=5.146 b=5.146 c=5.146 alpha=135.82 beta=108.46 gamma=88.06
Fractional positions:
Ni 0.383 0.383 0.000
Ba 0.753 0.253 0.500
Be 0.111 0.111 0.000
Be 0.253 0.753 0.500

***

Record 2
A plane-wave DFT calculation with PBE was carried out for a relaxed structure of BaBeNi2.

Calculated values
Energy of formation, eV/atom: 0.366
E above lowest polymorph, eV/atom: 0.427
Density, g cm⁻³: 5.5

Unit cell a=5.076 b=5.076 c=5.076 alpha=137.72 beta=110.54 gamma=84.80
Fractional positions:
Ni 0.908 0.908 0.000
Ni 0.592 0.592 0.000
Ba 0.250 0.750 0.500
Be 0.750 0.250 0.500

***

Record 3
A plane-wave DFT calculation with PBE was carried out for a relaxed structure of BaBe3Ni.

Calculated values
Energy of formation, eV/atom: 2.609
E above lowest polymorph, eV/atom: 2.340
Density, g cm⁻³: 2.9

Unit cell a=5.037 b=5.037 c=5.037 alpha=90.00 beta=90.00 gamma=90.00
Fractional positions:
Ni 0.500 0.500 0.500
Ba 0.000 0.000 0.000
Be 0.000 0.500 0.000
Be 0.000 0.000 0.500
Be 0.500 0.000 0.000

***

Record 4
A plane-wave DFT calculation with PBE was carried out for a relaxed structure of BaBeNi2.

Calculated values
Energy of formation, eV/atom: 0.758
E above lowest polymorph, eV/atom: 0.819
Density, g cm⁻³: 6.2

Unit cell a=6.910 b=4.536 c=3.465 alpha=89.99 beta=59.92 gamma=124.77
Fractional positions:
Ni 0.000 0.000 0.000
Ni 0.500 0.000 0.500
Ba 0.000 0.500 0.500
Be 0.500 0.500 0.000

***

Record 5
A plane-wave DFT calculation with PBE was carried out for a relaxed structure of BaBeNi2.

Calculated values
Energy of formation, eV/atom: 0.755
E above lowest polymorph, eV/atom: 0.816
Density, g cm⁻³: 5.9

Unit cell a=4.706 b=4.706 c=4.706 alpha=60.00 beta=60.00 gamma=60.00
Fractional positions:
Ni 0.250 0.250 0.250
Ni 0.750 0.750 0.750
Ba 0.500 0.500 0.500
Be 0.000 0.000 0.000

***

Record 6
A plane-wave DFT calculation with PBE was carried out for a relaxed structure of BaBe2Ni.

Calculated values
Energy of formation, eV/atom: 0.443
E above lowest polymorph, eV/atom: 0.443
Density, g cm⁻³: 5.2

Unit cell a=3.107 b=3.107 c=7.020 alpha=90.00 beta=90.00 gamma=90.00
Fractional positions:
Ni 0.000 0.000 0.391
Ba 0.500 0.500 0.740
Be 0.000 0.000 0.101
Be 0.500 0.500 0.267